Ta2TcSe after structural relaxation, computed with GGA-PBE.

Cell and atoms, written as POSCAR:
```
Ta2TcSe
1.0
5.823 0.000 0.000
0.000 7.237 0.000
0.000 0.000 3.182
Ta Tc Se
4 2 2
Cartesian
1.456 1.809 0.000
1.456 5.427 0.000
4.367 1.809 0.000
4.367 5.427 0.000
0.000 0.000 1.591
2.912 3.618 1.591
0.000 3.618 1.591
2.912 0.000 1.591
```

Calculated values
The value obtained for the raw formation energy is 0.004 eV/atom. As for the space-group type: Cmmm (65). For the density of states at the Fermi level, the calculation gives 0.649 states/eV per atom. The value obtained for the total energy is -75.08 eV/cell.